No. 1
First-principles (PBE) data for a relaxed ZrPaI6 crystal, as listed in the Alexandria database.

Calculated values
Crystal system   monoclinic
E_form (uncorrected)   -939 meV per atom
VASP energy   -4.36 eV/atom
SG   C2/m (12)

a = 8.1130 Å, b = 8.1130 Å, c = 6.8614 Å
α = 90.27°, β = 90.27°, γ = 119.22°
With the nearest neighbours (Å) after each atom.
Element x y z (fractional)
I 0.0031 0.6970 0.7619  1 Zr 2.96, 1 Pa 3.06
Zr 0.0000 0.0000 0.0000  6 I 2.96
I 0.9969 0.3030 0.2381  1 Zr 2.96, 1 Pa 3.06
I 0.6970 0.0031 0.7619  1 Zr 2.96, 1 Pa 3.06
I 0.6988 0.6988 0.2331  1 Zr 2.96, 1 Pa 3.06
Pa 0.0000 0.0000 0.5000  6 I 3.06
I 0.3030 0.9969 0.2381  1 Zr 2.96, 1 Pa 3.06
I 0.3012 0.3012 0.7669  1 Zr 2.96, 1 Pa 3.06


No. 2
First-principles (PBE) data for a relaxed Th4Co2Hg crystal, as listed in the Alexandria database.

Calculated values
Crystal system   monoclinic
VASP energy   -6.50 eV/atom
Calculated formation energy   -0.183 eV/atom
SG   C2 (5)

a = 7.2816 Å, b = 7.2817 Å, c = 8.2755 Å
α = 107.36°, β = 107.38°, γ = 108.75°
With the nearest neighbours (Å) after each atom.
Element x y z (fractional)
Th 0.3953 0.1626 0.3821  1 Co 2.55
Th 0.8255 0.7154 0.2281  1 Co 2.60
Th 0.4874 0.5975 0.7720  1 Co 2.60
Th 0.8485 0.2378 0.2727  1 Co 2.60
Co 0.1275 0.2482 0.6193  2 Th 2.55-2.60
Co 0.4990 0.8775 0.1190  2 Th 2.55-2.60
Th 0.2624 0.5306 0.1173  1 Co 2.55
Hg 0.0038 0.0037 0.0000  8 Th 3.12-3.43
Th 0.4133 0.1452 0.8827  1 Co 2.55
Hg 0.2543 0.7543 0.5000  8 Th 3.12-3.42
Th 0.7805 0.0132 0.6180  1 Co 2.55
Th 0.9652 0.5758 0.7273  1 Co 2.60
Co 0.7585 0.3800 0.8810  2 Th 2.55-2.60
Co 0.6289 0.5082 0.3806  2 Th 2.55-2.60


No. 3
First-principles (PBE) data for a relaxed Ce2PrC crystal, as listed in the Alexandria database.

Calculated values
Crystal system   trigonal
VASP energy   -6.54 eV/atom
Calculated formation energy   -0.072 eV/atom
SG   R3m (160)

a = 3.5769 Å, b = 3.5769 Å, c = 9.4047 Å
α = 79.04°, β = 79.04°, γ = 60.00°
With the nearest neighbours (Å) after each atom.
Element x y z (fractional)
Pr 0.5017 0.5017 0.4949  6 Pr 3.58, 6 Ce 3.71-3.84
C 0.6669 0.6669 0.9994  6 Ce 2.49-2.53
Ce 0.2805 0.2805 0.1586  3 C 2.53
Ce 0.0509 0.0509 0.8472  3 C 2.49


No. 4
First-principles (PBE) data for a relaxed Pr4HoEr3 crystal, as listed in the Alexandria database.

Calculated values
Crystal system   orthorhombic
VASP energy   -4.64 eV/atom
Calculated formation energy   0.031 eV/atom
SG   Pmn2_1 (31)

a = 6.3072 Å, b = 7.3444 Å, c = 11.6211 Å
α = 90.00°, β = 90.00°, γ = 90.00°
With the nearest neighbours (Å) after each atom.
Element x y z (fractional)
Pr 0.6473 0.1300 0.0000  4 Er 3.59-3.76, 6 Pr 3.61-3.71, 2 Ho 3.64-3.66
Pr 0.1473 0.8700 0.5000  4 Er 3.59-3.76, 6 Pr 3.61-3.71, 2 Ho 3.64-3.66
Ho 0.1488 0.3796 0.0000  6 Er 3.56-3.62, 6 Pr 3.61-3.74
Er 0.4810 0.3808 0.2503  4 Er 3.55-3.61, 2 Ho 3.56-3.58, 6 Pr 3.59-3.74
Ho 0.6488 0.6204 0.5000  6 Er 3.56-3.62, 6 Pr 3.61-3.74
Pr 0.4838 0.8710 0.2484  5 Er 3.58-3.74, 6 Pr 3.60-3.68, 1 Ho 3.61
Er 0.9810 0.6192 0.7503  4 Er 3.55-3.61, 2 Ho 3.56-3.58, 6 Pr 3.59-3.74
Er 0.9810 0.6192 0.2497  4 Er 3.55-3.61, 2 Ho 3.56-3.58, 6 Pr 3.59-3.74
Er 0.6472 0.6184 0.0000  4 Er 3.55-3.59, 6 Pr 3.58-3.76, 2 Ho 3.60-3.62
Pr 0.9838 0.1290 0.7484  5 Er 3.58-3.74, 6 Pr 3.60-3.68, 1 Ho 3.61
Er 0.4810 0.3808 0.7497  4 Er 3.55-3.61, 2 Ho 3.56-3.58, 6 Pr 3.59-3.74
Er 0.1472 0.3816 0.5000  4 Er 3.55-3.59, 6 Pr 3.58-3.76, 2 Ho 3.60-3.62
Pr 0.9838 0.1290 0.2516  5 Er 3.58-3.74, 6 Pr 3.60-3.68, 1 Ho 3.61
Pr 0.6424 0.1289 0.5000  4 Er 3.59-3.69, 6 Pr 3.60-3.71, 2 Ho 3.61-3.74
Pr 0.4838 0.8710 0.7516  5 Er 3.58-3.74, 6 Pr 3.60-3.68, 1 Ho 3.61
Pr 0.1424 0.8711 0.0000  4 Er 3.59-3.69, 6 Pr 3.60-3.71, 2 Ho 3.61-3.74


No. 5
First-principles (PBE) data for a relaxed Cs2TiTl crystal, as listed in the Alexandria database.

Calculated values
Crystal system   cubic
VASP energy   -1.93 eV/atom
Calculated formation energy   1.065 eV/atom
SG   Fm-3m (225)

a = 6.4173 Å, b = 6.4173 Å, c = 6.4173 Å
α = 60.00°, β = 60.00°, γ = 60.00°
With the nearest neighbours (Å) after each atom.
Element x y z (fractional)
Ti 0.0000 0.0000 0.0000  8 Cs 3.93
Cs 0.7500 0.7500 0.7500  4 Tl 3.93, 4 Ti 3.93
Cs 0.2500 0.2500 0.2500  4 Tl 3.93, 4 Ti 3.93
Tl 0.5000 0.5000 0.5000  8 Cs 3.93


No. 6
First-principles (PBE) data for a relaxed Zr2VHAu crystal, as listed in the Alexandria database.

Calculated values
Crystal system   tetragonal
VASP energy   -6.82 eV/atom
SG   P4/mmm (123)

a = 4.5199 Å, b = 4.5199 Å, c = 3.8303 Å
α = 90.00°, β = 90.00°, γ = 90.00°
With the nearest neighbours (Å) after each atom.
Element x y z (fractional)
H 0.0000 0.0000 0.0000  2 V 1.92
Au 0.5000 0.5000 0.5000  8 Zr 2.96, 4 V 3.20
V 0.0000 0.0000 0.5000  2 H 1.92
Zr 0.0000 0.5000 0.0000  2 H 2.26
Zr 0.5000 0.0000 0.0000  2 H 2.26


No. 7
First-principles (PBE) data for a relaxed TbAsAu2 crystal, as listed in the Alexandria database.

Calculated values
Crystal system   tetragonal
VASP energy   -4.62 eV/atom
Calculated formation energy   -0.661 eV/atom
SG   P4/mmm (123)

a = 5.0243 Å, b = 4.0649 Å, c = 4.0649 Å
α = 90.00°, β = 90.00°, γ = 90.00°
With the nearest neighbours (Å) after each atom.
Element x y z (fractional)
Au 0.0000 0.0000 0.5000  4 Au 2.87
Tb 0.5000 0.0000 0.0000  4 As 2.87
Au 0.0000 0.5000 0.0000  4 Au 2.87
As 0.5000 0.5000 0.5000  4 Tb 2.87


No. 8
First-principles (PBE) data for a relaxed Sr8Pd2N crystal, as listed in the Alexandria database.

Calculated values
Crystal system   monoclinic
E_form (uncorrected)   -374 meV per atom
VASP energy   -3.30 eV/atom
SG   C2/m (12)

a = 4.0875 Å, b = 8.6004 Å, c = 14.9655 Å
α = 126.26°, β = 97.85°, γ = 90.00°
With the nearest neighbours (Å) after each atom.
Element x y z (fractional)
Sr 0.3834 0.2647 0.7668  2 Pd 3.08
Sr 0.7505 0.7472 0.5011  2 Pd 3.19
Sr 0.0072 0.2213 0.0144  2 N 2.71
Sr 0.3906 0.7876 0.7811  1 N 2.61
Sr 0.9928 0.7787 0.9856  2 N 2.71
Pd 0.8524 0.4544 0.7049  7 Sr 3.08-3.35
Sr 0.2495 0.2528 0.4989  2 Pd 3.19
Sr 0.6166 0.7353 0.2332  2 Pd 3.08
Sr 0.6094 0.2124 0.2189  1 N 2.61
N 0.5000 0.0000 0.0000  6 Sr 2.61-2.71
Pd 0.1476 0.5456 0.2951  7 Sr 3.08-3.35


No. 9
First-principles (PBE) data for a relaxed K3Pm3PaS8 crystal, as listed in the Alexandria database.

Calculated values
Crystal system   trigonal
E_form (uncorrected)   -1814 meV per atom
VASP energy   -5.82 eV/atom
SG   R-3m (166)

a = 8.2733 Å, b = 8.2734 Å, c = 8.8792 Å
α = 117.77°, β = 90.00°, γ = 120.00°
With the nearest neighbours (Å) after each atom.
Element x y z (fractional)
Pm 0.5000 0.0000 0.5000  6 S 2.84
Pm 0.5000 0.5000 0.5000  6 S 2.84
K 0.0000 0.0000 0.0000  6 S 3.25-3.26
S 0.2267 0.4535 0.6974  1 Pa 2.74, 2 Pm 2.84
S 0.2267 0.9707 0.6974  1 Pa 2.74, 2 Pm 2.84
Pa 0.0000 0.0000 0.5000  6 S 2.74
S 0.7352 0.4703 0.7054  3 Pm 2.84
S 0.2560 0.0293 0.3026  1 Pa 2.74, 2 Pm 2.84
S 0.7733 0.5465 0.3026  1 Pa 2.74, 2 Pm 2.84
S 0.7440 0.9707 0.6974  1 Pa 2.74, 2 Pm 2.84
K 0.5000 0.5000 0.0000  6 S 3.25-3.26
Pm 0.0000 0.5000 0.5000  6 S 2.84
S 0.7733 0.0293 0.3026  1 Pa 2.74, 2 Pm 2.84
K 0.0000 0.5000 0.0000  6 S 3.25-3.26
S 0.2648 0.5297 0.2946  3 Pm 2.84


No. 10
First-principles (PBE) data for a relaxed CrAsRu2 crystal, as listed in the Alexandria database.

Calculated values
Crystal system   orthorhombic
VASP energy   -7.81 eV/atom
Calculated formation energy   0.400 eV/atom
SG   Cmmm (65)

a = 2.7816 Å, b = 2.7816 Å, c = 8.4408 Å
α = 90.00°, β = 90.00°, γ = 117.56°
With the nearest neighbours (Å) after each atom.
Element x y z (fractional)
Cr 0.5000 0.5000 0.7500  4 Ru 2.47
As 0.5000 0.5000 0.2500  4 Ru 2.64, 6 As 2.78-2.88
Ru 0.0000 0.0000 0.5122  2 Cr 2.47, 2 As 2.64
Ru 0.0000 0.0000 0.9878  2 Cr 2.47, 2 As 2.64


No. 11
First-principles (PBE) data for a relaxed CaCrNi crystal, as listed in the Alexandria database.

Calculated values
Crystal system   monoclinic
VASP energy   -5.50 eV/atom
Calculated formation energy   0.305 eV/atom
SG   Cm (8)

a = 5.8573 Å, b = 4.0127 Å, c = 5.6078 Å
α = 110.91°, β = 105.58°, γ = 69.98°
With the nearest neighbours (Å) after each atom.
Element x y z (fractional)
Cr 0.0581 0.0345 0.4727  1 Cr 1.92
Ca 0.5356 0.6857 0.2527  3 Cr 3.04-3.25, 6 Ni 3.09-3.16, 1 Ca 3.37
Ni 0.1077 0.3935 0.2407  3 Cr 2.38-2.58, 1 Ni 2.43
Cr 0.2674 0.0958 0.8040  1 Cr 1.92
Ca 0.8597 0.8269 0.8592  5 Ni 3.00-3.32, 6 Cr 3.06-3.22
Ni 0.3873 0.4598 0.6519  2 Cr 2.30, 1 Ni 2.43


No. 12
First-principles (PBE) data for a relaxed In2ReBr crystal, as listed in the Alexandria database.

Calculated values
Crystal system   trigonal
E_form (uncorrected)   449 meV per atom
VASP energy   -4.45 eV/atom
SG   R-3m (166)

a = 9.0759 Å, b = 9.0759 Å, c = 9.0759 Å
α = 21.25°, β = 21.25°, γ = 21.25°
With the nearest neighbours (Å) after each atom.
Element x y z (fractional)
Re 0.2500 0.2500 0.2500  6 In 2.79
Br 0.7500 0.7500 0.7500  6 In 3.09, 6 Br 3.35
In 0.9925 0.9925 0.9925  3 Re 2.79, 3 Br 3.09
In 0.5075 0.5075 0.5075  3 Re 2.79, 3 Br 3.09


Among the records above, which one has the lowest VASP energy? CrAsRu2


What is the VASP energy in the ninth record? -5.82 eV/atom